[1]
# LiTaReSb (PBE, relaxed)
data_LiTaReSb
_chemical_formula_sum 'Li4 Ta4 Re4 Sb4'
_symmetry_space_group_name_H-M 'F -4 3 m'
_symmetry_Int_Tables_number 216
_symmetry_space_group_name_Hall 'F -4 2 3'
_cell_length_a 6.373
_cell_length_b 6.373
_cell_length_c 6.373
_cell_angle_alpha 90.00
_cell_angle_beta 90.00
_cell_angle_gamma 90.00
loop_
_atom_site_label
_atom_site_type_symbol
_atom_site_fract_x
_atom_site_fract_y
_atom_site_fract_z
Li1 Li 0.000 0.000 0.000
Ta1 Ta 0.250 0.250 0.250
Re1 Re 0.000 0.000 0.500
Sb1 Sb 0.250 0.250 0.750
# Polymorph energy (0 for the lowest one) in meV/atom: 0
# Total magnetization in μB/cell: 0.00

=====

[2]
# HoNbN2O (PBE, relaxed)
data_HoNbN2O
_chemical_formula_sum 'Ho4 Nb4 N8 O4'
_symmetry_space_group_name_H-M 'P 1'
_symmetry_Int_Tables_number 1
_cell_length_a 5.599
_cell_length_b 5.602
_cell_length_c 9.718
_cell_angle_alpha 106.74
_cell_angle_beta 90.17
_cell_angle_gamma 119.60
loop_
_symmetry_equiv_pos_as_xyz
'x,y,z'
loop_
_atom_site_label
_atom_site_type_symbol
_atom_site_fract_x
_atom_site_fract_y
_atom_site_fract_z
Ho1 Ho 0.000 0.000 0.000
Ho2 Ho 0.237 0.443 0.757
Ho3 Ho 0.505 0.011 0.522
Ho4 Ho 0.750 0.444 0.265
Nb1 Nb 0.141 0.252 0.387
Nb2 Nb 0.369 0.736 0.146
Nb3 Nb 0.646 0.240 0.900
Nb4 Nb 0.874 0.735 0.626
N1 N 0.090 0.018 0.538
N2 N 0.141 0.377 0.216
N3 N 0.349 0.022 0.300
N4 N 0.495 0.581 0.504
N5 N 0.586 0.034 0.043
N6 N 0.822 0.034 0.783
N7 N 0.892 0.385 0.483
N8 N 0.987 0.584 0.012
O1 O 0.210 0.832 0.770
O2 O 0.369 0.387 0.961
O3 O 0.613 0.393 0.727
O4 O 0.738 0.822 0.246
# Raw total energy in eV/atom: -9.0297
# Total magnetization in μB/cell: 0.01

=====

[3]
# Nd5Nb2O12 (PBE, relaxed)
data_Nd5Nb2O12
_chemical_formula_sum 'Nd10 Nb4 O24'
_symmetry_space_group_name_H-M 'C 1 2/m 1'
_symmetry_Int_Tables_number 12
_cell_length_a 12.765
_cell_length_b 6.013
_cell_length_c 7.677
_cell_angle_alpha 90.00
_cell_angle_beta 107.47
_cell_angle_gamma 90.00
loop_
_symmetry_equiv_pos_as_xyz
'x,y,z'
'-x,-y,-z'
'-x,y,-z'
'x,-y,z'
'x+1/2,y+1/2,z'
'-x+1/2,-y+1/2,-z'
'-x+1/2,y+1/2,-z'
'x+1/2,-y+1/2,z'
loop_
_atom_site_label
_atom_site_type_symbol
_atom_site_fract_x
_atom_site_fract_y
_atom_site_fract_z
Nd1 Nd 0.000 0.000 0.000
Nd2 Nd 0.192 0.500 0.329
Nd3 Nd 0.195 0.500 0.862
Nb1 Nb 0.000 0.240 0.500
O1 O 0.001 0.000 0.689
O2 O 0.001 0.500 0.312
O3 O 0.155 0.250 0.077
O4 O 0.162 0.264 0.581
# Raw total energy in eV/atom: -8.6067
# Total magnetization in μB/cell: 0.01

=====

[4]
# Hf2BeTc (PBE, relaxed)
data_Hf2BeTc
_chemical_formula_sum 'Hf8 Be4 Tc4'
_symmetry_space_group_name_H-M 'F -4 3 m'
_symmetry_Int_Tables_number 216
_symmetry_space_group_name_Hall 'F -4 2 3'
_cell_length_a 6.384
_cell_length_b 6.384
_cell_length_c 6.384
_cell_angle_alpha 90.00
_cell_angle_beta 90.00
_cell_angle_gamma 90.00
loop_
_atom_site_label
_atom_site_type_symbol
_atom_site_fract_x
_atom_site_fract_y
_atom_site_fract_z
Hf1 Hf 0.000 0.000 0.000
Hf2 Hf 0.250 0.250 0.250
Be1 Be 0.000 0.000 0.500
Tc1 Tc 0.250 0.250 0.750
# Raw total energy in eV/atom: -8.4193
# Total magnetization in μB/cell: 0.02

=====

[5]
# Sr2ZnHgPb2 (PBE, relaxed)
data_Sr2ZnHgPb2
_chemical_formula_sum 'Sr2 Zn1 Hg1 Pb2'
_symmetry_space_group_name_H-M 'P 3 m 1'
_symmetry_Int_Tables_number 156
_cell_length_a 5.0234
_cell_length_b 5.0234
_cell_length_c 8.2149
_cell_angle_alpha 90.00
_cell_angle_beta 90.00
_cell_angle_gamma 120.00
loop_
_symmetry_equiv_pos_as_xyz
'x,y,z'
'-y,x-y,z'
'-x+y,-x,z'
'-y,-x,z'
'-x+y,y,z'
'x,x-y,z'
loop_
_atom_site_label
_atom_site_type_symbol
_atom_site_fract_x
_atom_site_fract_y
_atom_site_fract_z
Sr1 Sr 0.0000 0.0000 0.0000
Sr2 Sr 0.0000 0.0000 0.4953
Zn1 Zn 0.6667 0.3333 0.3017
Hg1 Hg 0.3333 0.6667 0.8053
Pb1 Pb 0.3333 0.6667 0.2221
Pb2 Pb 0.6667 0.3333 0.7049
# Raw total energy in eV/atom: -2.4840

=====

[6]
# Li2Nb2AlGaIr2 (PBE, relaxed)
data_Li2Nb2AlGaIr2
_chemical_formula_sum 'Li2 Nb2 Al1 Ga1 Ir2'
_symmetry_space_group_name_H-M 'P -4 m 2'
_symmetry_Int_Tables_number 115
_cell_length_a 4.357
_cell_length_b 4.357
_cell_length_c 6.162
_cell_angle_alpha 90.00
_cell_angle_beta 90.00
_cell_angle_gamma 90.00
loop_
_symmetry_equiv_pos_as_xyz
'x,y,z'
'y,-x,-z'
'-x,-y,z'
'-y,x,-z'
'-x,y,z'
'-y,-x,-z'
'x,-y,z'
'y,x,-z'
loop_
_atom_site_label
_atom_site_type_symbol
_atom_site_fract_x
_atom_site_fract_y
_atom_site_fract_z
Li1 Li 0.000 0.500 0.249
Nb1 Nb 0.000 0.000 0.000
Nb2 Nb 0.500 0.500 0.500
Al1 Al 0.000 0.000 0.500
Ga1 Ga 0.500 0.500 0.000
Ir1 Ir 0.000 0.500 0.747
# Raw total energy in eV/atom: -6.6859
# Total magnetization in μB/cell: 0.00

=====

[7]
# ZnInGe2 (PBE, relaxed)
data_ZnInGe2
_chemical_formula_sum 'Zn4 In4 Ge8'
_symmetry_space_group_name_H-M 'F -4 3 m'
_symmetry_Int_Tables_number 216
_symmetry_space_group_name_Hall 'F -4 2 3'
_cell_length_a 6.917
_cell_length_b 6.917
_cell_length_c 6.917
_cell_angle_alpha 90.00
_cell_angle_beta 90.00
_cell_angle_gamma 90.00
loop_
_atom_site_label
_atom_site_type_symbol
_atom_site_fract_x
_atom_site_fract_y
_atom_site_fract_z
Zn1 Zn 0.000 0.000 0.000
In1 In 0.250 0.250 0.750
Ge1 Ge 0.000 0.000 0.500
Ge2 Ge 0.250 0.250 0.250
# Raw total energy in eV/atom: -3.0609

=====

[8]
# Gd3Si2Ir2 (PBE, relaxed)
data_Gd3Si2Ir2
_chemical_formula_sum 'Gd12 Si8 Ir8'
_symmetry_space_group_name_H-M 'C m c m'
_symmetry_Int_Tables_number 63
_symmetry_space_group_name_Hall '-C 2c 2'
_cell_length_a 4.105
_cell_length_b 10.482
_cell_length_c 13.327
_cell_angle_alpha 90.00
_cell_angle_beta 90.00
_cell_angle_gamma 90.00
loop_
_atom_site_label
_atom_site_type_symbol
_atom_site_fract_x
_atom_site_fract_y
_atom_site_fract_z
Gd1 Gd 0.000 0.017 0.250
Gd2 Gd 0.000 0.274 0.604
Si1 Si 0.000 0.439 0.089
Ir1 Ir 0.000 0.000 0.000
Ir2 Ir 0.000 0.313 0.250
# Raw total energy in eV/atom: -7.0450
# Total magnetization in μB/cell: 0.00

=====

[9]
# Cu3As (PBE, relaxed)
data_Cu3As
_chemical_formula_sum 'Cu6 As2'
_symmetry_space_group_name_H-M 'P 63/m m c'
_symmetry_Int_Tables_number 194
_symmetry_space_group_name_Hall '-P 6c 2c'
_cell_length_a 4.1930
_cell_length_b 4.1930
_cell_length_c 7.3698
_cell_angle_alpha 90.00
_cell_angle_beta 90.00
_cell_angle_gamma 120.00
loop_
_atom_site_label
_atom_site_type_symbol
_atom_site_fract_x
_atom_site_fract_y
_atom_site_fract_z
Cu1 Cu 0.0000 0.0000 0.2500
Cu2 Cu 0.3333 0.6667 0.0794
As1 As 0.3333 0.6667 0.7500
# Raw total energy in eV/atom: -3.8552

=====

[10]
# BeFeReBi (PBE, relaxed)
data_BeFeReBi
_chemical_formula_sum 'Be4 Fe4 Re4 Bi4'
_symmetry_space_group_name_H-M 'F -4 3 m'
_symmetry_Int_Tables_number 216
_symmetry_space_group_name_Hall 'F -4 2 3'
_cell_length_a 6.204
_cell_length_b 6.204
_cell_length_c 6.204
_cell_angle_alpha 90.00
_cell_angle_beta 90.00
_cell_angle_gamma 90.00
loop_
_atom_site_label
_atom_site_type_symbol
_atom_site_fract_x
_atom_site_fract_y
_atom_site_fract_z
Be1 Be 0.000 0.000 0.000
Fe1 Fe 0.250 0.250 0.750
Re1 Re 0.250 0.250 0.250
Bi1 Bi 0.000 0.000 0.500
# Polymorph energy (0 for the lowest one) in meV/atom: 0
# Total magnetization in μB/cell: 5.44